18
Lattice="-2.4522 -3.7597 5.4286 1.3942 -6.7398 -4.0381 5.4107 5.0297 1.3575" Properties=species:S:1:pos:R:3 comment="PBE+U UVHgO6, relaxed" m_tot_mub_per_atom=0.0000 e_tot_ev_per_atom=-7.354 sg="Imma (74)" pbc="T T T"
O 4.0008 1.0996 0.7803
O -0.5634 -2.1444 4.6189
O 3.9565 -4.7968 0.2535
O 1.3116 -5.0981 -0.1568
O 1.3244 -0.3256 4.9428
O 4.3896 -1.8671 0.6897
O 4.9161 -3.3255 -1.8709
O 3.0283 -5.1442 -2.1948
O 0.3519 -6.5694 1.9677
O -0.0369 -3.6027 2.0583
O 0.3962 -0.6730 2.4945
O 3.0412 -0.3717 2.9047
U -0.5290 -5.2498 0.6952
U -1.2261 -1.8798 2.7143
V 2.7054 2.5148 0.6787
V 1.4793 0.6350 3.3930
Hg 2.1593 -3.7017 2.9817
Hg 2.1934 -1.7681 -0.2338



12
Lattice="5.9552 0.0000 0.0000 -2.9776 5.1573 0.0000 0.0000 0.0000 8.3399" Properties=species:S:1:pos:R:3 comment="PBE+U UV2HgO8, relaxed" m_tot_mub_per_atom=0.0012 e_tot_ev_per_atom=-7.550 sg="P-3m1 (164)" pbc="T T T"
O 1.4718 4.2880 7.1933
O 4.4494 0.8694 1.1466
O 1.5058 0.8694 1.1466
O 0.0000 3.4382 4.9823
O 0.0000 1.7387 7.1933
O 2.9776 1.7191 3.3576
O 2.9776 3.4186 1.1466
O -1.4718 4.2880 7.1933
Hg 0.0000 0.0000 4.1699
V 0.0000 3.4382 6.5966
V 2.9776 1.7191 1.7433
U 0.0000 0.0000 0.0000